A relaxed structure of TlIn2Se2S. Source: Alexandria, functional PBE.

Values from the calculation:
Volume   367.4 Å³/cell
Uncorrected formation energy   -0.376 eV/atom
Energy   -0.12983 Ha/atom

Cell: 7.115 6.986 7.408 Å, 90.00 93.90 90.00°
Space group P2_1/m (No. 11)
Asymmetric unit:
Tl: 0.087 0.250 0.154 (multiplicity 2)
In: 0.411 0.014 0.735 (multiplicity 4)
Se: 0.115 0.250 0.740 (multiplicity 2)
Se: 0.354 0.750 0.003 (multiplicity 2)
S: 0.396 0.750 0.483 (multiplicity 2)